[1]
A plane-wave DFT calculation with GGA-PBE was carried out for a geometry-optimized PmSn3Rh4 structure.

abc: 4.5198 4.5198 9.0449
angles: 75.53 75.53 60.00
Atoms (fractional coordinates):
Rh 0.8664 0.8664 0.4008
Rh 0.4003 0.4003 0.7991
Rh 0.1336 0.1336 0.5992
Rh 0.5997 0.5997 0.2009
Sn 0.2500 0.2500 0.2501
Sn 0.7500 0.7500 0.7499
Sn 0.5000 0.5000 0.5000
Pm 0.0000 0.0000 0.0000

## Properties
E_tot: -6.330 eV/atom
formation energy from the elements: -0.559 eV per atom
total magnetization: 0.000 μB/atom

=====

[2]
A plane-wave DFT calculation with GGA-PBE was carried out for a geometry-optimized PmSnRh4 structure.

abc: 4.1229 7.0131 7.6341
angles: 90.00 90.00 90.00
Atoms (fractional coordinates):
Pm 0.0000 0.6762 0.7500
Pm 0.0000 0.3238 0.2500
Sn 0.0000 0.2458 0.7500
Sn 0.0000 0.7542 0.2500
Rh 0.0000 0.0000 0.5000
Rh 0.0000 0.0000 0.0000
Rh 0.5000 0.9633 0.7500
Rh 0.5000 0.0367 0.2500
Rh 0.5000 0.6987 0.0359
Rh 0.5000 0.3013 0.9641
Rh 0.5000 0.6987 0.4641
Rh 0.5000 0.3013 0.5359

## Properties
E_tot: -6.671 eV/atom
offset from the most stable computed form: 14.4 kJ/mol of atoms
formation energy from the elements: -0.311 eV per atom
total magnetization: 0.000 μB/atom

=====

[3]
A plane-wave DFT calculation with GGA-PBE was carried out for a geometry-optimized Pm5Sn5Rh2 structure.

abc: 4.6854 8.6626 8.3743
angles: 76.15 73.75 74.31
Atoms (fractional coordinates):
Pm 0.5000 0.5000 0.5000
Pm 0.3636 0.3433 0.9296
Pm 0.3325 0.0110 0.3241
Pm 0.6675 0.9890 0.6759
Pm 0.6364 0.6567 0.0704
Sn 0.9537 0.7434 0.3492
Sn 0.2513 0.7374 0.7601
Sn 0.7487 0.2626 0.2399
Sn 0.0463 0.2566 0.6508
Sn 0.0000 0.0000 0.0000
Rh 0.8470 0.5658 0.7403
Rh 0.1530 0.4342 0.2597

## Properties
E_tot: -5.639 eV/atom
formation energy from the elements: -0.766 eV per atom
total magnetization: 0.000 μB/atom

=====

[4]
A plane-wave DFT calculation with GGA-PBE was carried out for a geometry-optimized PmSnRh structure.

abc: 4.7266 4.7266 4.7266
angles: 60.00 60.00 60.00
Atoms (fractional coordinates):
Rh 0.2500 0.2500 0.2500
Sn 0.5000 0.5000 0.5000
Pm 0.0000 0.0000 0.0000

## Properties
E_tot: -6.045 eV/atom
offset from the most stable computed form: 17.9 kJ/mol of atoms
formation energy from the elements: -0.677 eV per atom
total magnetization: 0.000 μB/atom

=====

[5]
A plane-wave DFT calculation with GGA-PBE was carried out for a geometry-optimized Pm6SnRh structure.

abc: 4.9566 4.9566 9.2492
angles: 90.00 90.00 90.00
Atoms (fractional coordinates):
Pm 0.5000 0.5000 0.0000
Pm 0.5000 0.5000 0.5000
Pm 0.5000 0.0000 0.2706
Pm 0.5000 0.0000 0.7294
Pm 0.0000 0.5000 0.2706
Pm 0.0000 0.5000 0.7294
Sn 0.0000 0.0000 0.0000
Rh 0.0000 0.0000 0.5000

## Properties
E_tot: -5.226 eV/atom
formation energy from the elements: -0.244 eV per atom
total magnetization: 0.000 μB/atom

=====

[6]
A plane-wave DFT calculation with GGA-PBE was carried out for a geometry-optimized Pm3Sn4Rh8 structure.

abc: 9.3220 9.3220 9.3220
angles: 60.00 60.00 60.00
Atoms (fractional coordinates):
Pm 0.7308 0.7308 0.2692
Pm 0.2692 0.2692 0.7308
Pm 0.7308 0.2692 0.2692
Pm 0.2692 0.7308 0.7308
Pm 0.7308 0.2692 0.7308
Pm 0.2692 0.7308 0.2692
Sn 0.0000 0.0000 0.0000
Sn 0.5000 0.5000 0.0000
Sn 0.0000 0.0000 0.5000
Sn 0.5000 0.0000 0.0000
Sn 0.0000 0.5000 0.5000
Sn 0.5000 0.0000 0.5000
Sn 0.0000 0.5000 0.0000
Sn 0.5000 0.5000 0.5000
Rh 0.6332 0.1223 0.1223
Rh 0.3668 0.8777 0.8777
Rh 0.1223 0.1223 0.6332
Rh 0.1223 0.1223 0.1223
Rh 0.8777 0.8777 0.3668
Rh 0.8777 0.8777 0.8777
Rh 0.1223 0.6332 0.1223
Rh 0.8777 0.3668 0.8777
Rh 0.0163 0.3279 0.3279
Rh 0.9837 0.6721 0.6721
Rh 0.3279 0.3279 0.0163
Rh 0.3279 0.3279 0.3279
Rh 0.6721 0.6721 0.9837
Rh 0.6721 0.6721 0.6721
Rh 0.3279 0.0163 0.3279
Rh 0.6721 0.9837 0.6721

## Properties
E_tot: -6.590 eV/atom
formation energy from the elements: -0.651 eV per atom
total magnetization: 0.000 μB/atom

=====

Question: Which formula does entry 2 have?
Answer: PmSnRh4

=====

Question: Number 5 is which compound?
Answer: Pm6SnRh